Material: CePm12Y5
Method: DFT, PBE
State: relaxed

a b c (Å): 10.436 10.436 5.877
angles (deg): 90.34 90.34 108.74
Fractional coordinates of all 18 atoms:
Ce 0.000 0.000 0.000
Pm 0.026 0.674 0.993
Pm 0.169 0.529 0.504
Pm 0.202 0.202 0.426
Pm 0.301 0.301 0.931
Pm 0.326 0.974 0.007
Pm 0.471 0.831 0.496
Pm 0.529 0.169 0.504
Pm 0.674 0.026 0.993
Pm 0.699 0.699 0.069
Pm 0.798 0.798 0.574
Pm 0.831 0.471 0.496
Pm 0.974 0.326 0.007
Y 0.136 0.864 0.500
Y 0.362 0.638 0.000
Y 0.500 0.500 0.500
Y 0.638 0.362 0.000
Y 0.864 0.136 0.500

Calculated values
**Total magnetization**: 0.86 μB/cell
**Energy**: -5.201 eV/atom
**Calculated volume**: 606 Å³ per cell
**DFT formation energy**: 0.091 eV per atom